1.
{
  "formula": "Ta2AlGaNi2",
  "functional": "GGA-PBE",
  "state": "optimized geometry",
  "cell": [[9.9674, 0.0000, 0.0000], [0.0000, 4.0690, 0.0000], [-3.3242, 0.0000, 9.3986]],
  "species": ["Ta", "Ta", "Ta", "Ta", "Ta", "Ta", "Ta", "Ta", "Al", "Al", "Al", "Al", "Ga", "Ga", "Ga", "Ga", "Ni", "Ni", "Ni", "Ni", "Ni", "Ni", "Ni", "Ni"],
  "frac_coords": [[0.0000, 0.0000, 0.0000], [0.1243, 0.5000, 0.3730], [0.2486, 0.0000, 0.7501], [0.3738, 0.5000, 0.1249], [0.4993, 0.0000, 0.4979], [0.6252, 0.5000, 0.8752], [0.7494, 0.0000, 0.2493], [0.8743, 0.5000, 0.6244], [0.9997, 0.0000, 0.4994], [0.3744, 0.5000, 0.6247], [0.4993, 0.0000, 0.9991], [0.7490, 0.0000, 0.7493], [0.1242, 0.5000, 0.8743], [0.2494, 0.0000, 0.2496], [0.6247, 0.5000, 0.3743], [0.8743, 0.5000, 0.1244], [0.1241, 0.5000, 0.1239], [0.2494, 0.0000, 0.5009], [0.3758, 0.5000, 0.8749], [0.4994, 0.0000, 0.2474], [0.6238, 0.5000, 0.6253], [0.7489, 0.0000, 0.9987], [0.8759, 0.5000, 0.3756], [0.9976, 0.0000, 0.7484]],
  "rho_g_cm3": 10.04,
  "space_group": "Pm (6)",
  "energy_ev_per_atom": -7.27
}

---

2.
{
  "formula": "TbAl3GaNi",
  "functional": "GGA-PBE",
  "state": "optimized geometry",
  "cell": [[2.0372, -7.6949, 0.0000], [2.0372, 7.6949, 0.0000], [0.0000, 0.0000, 6.6201]],
  "species": ["Tb", "Tb", "Al", "Al", "Al", "Al", "Al", "Al", "Ga", "Ga", "Ni", "Ni"],
  "frac_coords": [[0.1174, 0.8826, 0.7500], [0.8826, 0.1174, 0.2500], [0.3116, 0.6884, 0.5520], [0.3116, 0.6884, 0.9480], [0.5000, 0.5000, 0.0000], [0.5000, 0.5000, 0.5000], [0.6884, 0.3116, 0.0520], [0.6884, 0.3116, 0.4480], [0.0726, 0.9274, 0.2500], [0.9274, 0.0726, 0.7500], [0.2250, 0.7750, 0.2500], [0.7750, 0.2250, 0.7500]],
  "rho_g_cm3": 5.89,
  "space_group": "Cmcm (63)",
  "relative_energy_ev_per_atom": 0.0165,
  "energy_ev_per_atom": -4.64
}

---

3.
{
  "formula": "TbAlGa3Ni",
  "functional": "GGA-PBE",
  "state": "optimized geometry",
  "cell": [[2.0397, -7.6941, 0.0000], [2.0397, 7.6941, 0.0000], [0.0000, 0.0000, 6.5617]],
  "species": ["Tb", "Tb", "Al", "Al", "Ga", "Ga", "Ga", "Ga", "Ga", "Ga", "Ni", "Ni"],
  "frac_coords": [[0.1183, 0.8817, 0.7500], [0.8817, 0.1183, 0.2500], [0.0738, 0.9262, 0.2500], [0.9262, 0.0738, 0.7500], [0.3143, 0.6857, 0.5514], [0.3143, 0.6857, 0.9486], [0.5000, 0.5000, 0.0000], [0.5000, 0.5000, 0.5000], [0.6857, 0.3143, 0.0514], [0.6857, 0.3143, 0.4486], [0.2247, 0.7753, 0.2500], [0.7753, 0.2247, 0.7500]],
  "rho_g_cm3": 7.32,
  "space_group": "Cmcm (63)",
  "relative_energy_ev_per_atom": 0.0000,
  "energy_ev_per_atom": -4.38
}